VASP calculation (PBE with a Hubbard U) on a relaxed structure of KAl2MoO6.

Geometry as extended XYZ:
```
20
Lattice="4.398 -5.799 0.000 4.398 5.799 0.000 -2.479 0.000 5.728" Properties=species:S:1:pos:R:3 pbc="T T T"
K 2.538 4.648 4.296
K 3.778 -4.648 1.432
Al 1.232 0.796 4.806
Al 2.472 -0.796 1.942
Al 3.844 0.796 3.786
Al 5.084 -0.796 0.922
Mo 3.778 3.375 1.432
Mo 2.538 -3.375 4.296
O -0.470 1.163 4.130
O 1.308 2.526 5.515
O 0.769 -1.163 1.266
O 1.996 0.450 3.174
O 3.769 2.526 3.077
O 3.236 -0.450 0.311
O 3.080 0.450 5.417
O 2.547 -2.526 2.651
O 4.320 -0.450 2.553
O 5.547 1.163 4.462
O 5.008 -2.526 0.213
O 6.786 -1.163 1.598
```

ρ: 3.24 g/cm³
V: 146 Å³/f.u.
magnetic moment: 0.100 μB/atom
DOS(E_F): 0.000 states/eV/cell
total energy: -136.5 eV/cell
symmetry: No. 15